## Mg4RuAu (PBE)

Data for a relaxed structure of Mg4RuAu.

The structure belongs to space group F-43m (No. 216); the cell edges are 7.596, 7.596 and 7.596 Å and the angles 90.00°, 90.00° and 90.00°. The inequivalent atoms are Mg at (0.125, 0.125, 0.125), Ru at (0.250, 0.250, 0.750) and Au at (0.000, 0.000, 0.500).

As for the formation energy: 299 meV/atom. For the energy, the calculation gives -68.6 eV/cell. The calculation puts the total magnetic moment at 0.0000 μB/atom.

## Dy3Cd2In (PBE)

Data for a relaxed structure of Dy3Cd2In.

The structure belongs to space group Cmmm (No. 65); the cell edges are 5.305, 15.946 and 3.739 Å and the angles 90.00°, 90.00° and 90.00°. The inequivalent atoms are Dy at (0.000, 0.000, 0.000), Dy at (0.000, 0.333, 0.000), Cd at (0.000, 0.169, 0.500) and In at (0.000, 0.500, 0.500).

As for the formation energy: -376 meV/atom. For the energy, the calculation gives -41.3 eV/cell. The calculation puts the total magnetic moment at 0.0002 μB/atom. Its relative energy among the computed polymorphs is 0.000 eV per atom.

## CdCu2F8 (PBE)

Data for a relaxed structure of CdCu2F8.

The structure belongs to space group I422 (No. 97); the cell edges are 5.412, 5.412 and 10.184 Å and the angles 90.00°, 90.00° and 90.00°. The inequivalent atoms are Cd at (0.000, 0.000, 0.000), Cu at (0.000, 0.500, 0.250) and F at (0.162, 0.326, 0.872).

For the energy, the calculation gives -82.6 eV/cell. The calculation puts the total magnetic moment at 0.0000 μB/atom. Its relative energy among the computed polymorphs is 0.000 eV per atom. The formation energy without anion corrections is -1.5659 eV per atom.

## AcPm3Sm6 (PBE)

Data for a relaxed structure of AcPm3Sm6.

The structure belongs to space group R3 (No. 146, hexagonal axes); the cell edges are 10.0945, 10.0945 and 12.1561 Å and the angles 90.00°, 90.00° and 120.00°. The inequivalent atoms are Ac at (0.0000, 0.0000, 0.0000), Pm at (0.0000, 0.0000, 0.2610), Pm at (0.0000, 0.0000, 0.5001), Pm at (0.0000, 0.0000, 0.7390), Sm at (0.0001, 0.3372, 0.0004) and Sm at (0.9998, 0.6719, 0.5004).

As for the formation energy: 285 meV/atom. For the energy, the calculation gives -131.5 eV/cell. The calculation puts the total magnetic moment at 0.0001 μB/atom. Its relative energy among the computed polymorphs is 0.104 eV per atom.

## LiFeSbRu (PBE)

Data for a relaxed structure of LiFeSbRu.

The structure belongs to space group F-43m (No. 216); the cell edges are 6.196, 6.196 and 6.196 Å and the angles 90.00°, 90.00° and 90.00°. The inequivalent atoms are Li at (0.000, 0.000, 0.000), Fe at (0.250, 0.250, 0.750), Sb at (0.250, 0.250, 0.250) and Ru at (0.000, 0.000, 0.500).

For the energy, the calculation gives -96.9 eV/cell. The calculation puts the total magnetic moment at 0.8658 μB/atom. The formation energy without anion corrections is -0.1099 eV per atom.

## Na2UI5 (PBE)

Data for a relaxed structure of Na2UI5.

The structure belongs to space group Cm (No. 8); the cell edges are 16.704, 8.815 and 8.785 Å and the angles 90.00°, 121.00° and 90.00°. The inequivalent atoms are Na at (0.000, 0.000, 0.000), Na at (0.001, 0.500, 0.501), U at (0.413, 0.500, 0.412), I at (0.207, 0.500, 0.212), I at (0.467, 0.256, 0.224) and I at (0.473, 0.260, 0.713).

For the energy, the calculation gives -58.1 eV/cell. The calculation puts the total magnetic moment at 0.3750 μB/atom. The formation energy without anion corrections is -0.9187 eV per atom.

## Nd2TmIr (PBE)

Data for a relaxed structure of Nd2TmIr.

The structure belongs to space group R-3m (No. 166, hexagonal axes); the cell edges are 3.7967, 3.7967 and 31.9425 Å and the angles 90.00°, 90.00° and 120.00°. The inequivalent atoms are Nd at (0.0000, 0.0000, 0.1110), Tm at (0.0000, 0.0000, 0.0000) and Ir at (0.0000, 0.0000, 0.5000).

As for the formation energy: -11 meV/atom. For the energy, the calculation gives -68.7 eV/cell. The calculation puts the total magnetic moment at 0.0088 μB/atom. Its relative energy among the computed polymorphs is 0.482 eV per atom.

## LaBi12Rh4 (PBE)

Data for a relaxed structure of LaBi12Rh4.

The structure belongs to space group Im-3 (No. 204); the cell edges are 9.854, 9.854 and 9.854 Å and the angles 90.00°, 90.00° and 90.00°. The inequivalent atoms are La at (0.000, 0.000, 0.000), Bi at (0.000, 0.334, 0.160) and Rh at (0.250, 0.250, 0.250).

As for the formation energy: -254 meV/atom. For the energy, the calculation gives -170.5 eV/cell. The calculation puts the total magnetic moment at 0.0000 μB/atom.

What is the total magnetic moment in the sixth record? 0.3750 μB/atom

Which formula does entry 7 have? Nd2TmIr

Which formula does entry 6 have? Na2UI5